No. 1
Material: Mg2CoW
Method: DFT, GGA-PBE
State: optimized geometry

Summary:
The raw total energy is -0.201 Ha/atom. For the distance to the lowest polymorph of the same formula, the calculation gives 0.2008 eV/atom. Its formation energy from the elements is 0.35 eV per atom.

a = 2.726 Å, b = 2.726 Å, c = 8.655 Å
α = 90.00°, β = 90.00°, γ = 100.21°
Site moments in Bohr magnetons follow the coordinates.
Sites, in units of the cell vectors:
Mg (0.000, 0.000, 0.519)  -0.01
Mg (0.000, 0.000, 0.981)  -0.01
W (0.500, 0.500, 0.250)  -0.02
Co (0.500, 0.500, 0.750)  1.40

***

No. 2
Material: AlP2Pt
Method: DFT, GGA-PBE
State: optimized geometry

Summary:
The raw total energy is -0.194 Ha/atom. Its formation energy from the elements is -0.12 eV per atom.

a = 5.416 Å, b = 5.416 Å, c = 3.526 Å
α = 70.94°, β = 70.94°, γ = 123.81°
Sites, in units of the cell vectors:
P (0.000, 0.000, 0.000)
P (0.500, 0.500, 0.000)
Al (0.000, 0.500, 0.500)
Pt (0.500, 0.000, 0.500)

***

No. 3
Material: LaTa2Rh
Method: DFT, GGA-PBE
State: optimized geometry

Summary:
The raw total energy is -0.333 Ha/atom. For the distance to the lowest polymorph of the same formula, the calculation gives 0.0000 eV/atom. Its formation energy from the elements is -0.07 eV per atom.

a = 3.191 Å, b = 3.191 Å, c = 8.175 Å
α = 90.00°, β = 90.00°, γ = 90.00°
Sites, in units of the cell vectors:
Rh (0.000, 0.000, 0.805)
Ta (0.000, 0.000, 0.205)
Ta (0.500, 0.500, 0.978)
La (0.500, 0.500, 0.512)

***

No. 4
Material: Zr4ZnMo2
Method: DFT, GGA-PBE
State: optimized geometry

Summary:
The raw total energy is -0.272 Ha/atom. Its formation energy from the elements is 0.75 eV per atom.

a = 5.006 Å, b = 5.006 Å, c = 7.358 Å
α = 70.11°, β = 70.11°, γ = 90.00°
Sites, in units of the cell vectors:
Zr (0.799, 0.799, 0.402)
Zr (0.500, 0.000, 0.000)
Zr (0.000, 0.500, 0.000)
Zr (0.201, 0.201, 0.598)
Mo (0.397, 0.397, 0.207)
Mo (0.603, 0.603, 0.793)
Zn (0.000, 0.000, 0.000)

***

Q: What is the raw total energy in the first record?
A: -0.201 Ha/atom

***

Q: Which value of formation energy from the elements does entry 1 give?
A: 0.35 eV per atom

***

Q: raw total energy of number 2 (AlP2Pt)?
A: -0.194 Ha/atom

***

Q: Which formula does entry 2 have?
A: AlP2Pt